Zn6Ga2Au: optimized geometry, PBE.

Values from the calculation:
crystal system: monoclinic
formation energy from the elements: -0.014 eV per atom
size of the total moment: 0.00 μB per formula unit
space-group type: C2/m, No. 12
E_tot: -17.1 eV per cell

The structure in POSCAR format:
```
Zn6Ga2Au
1.0
-0.351 -1.885 -3.783
5.748 -1.996 0.462
-4.769 -3.348 4.572
Zn Au Ga
6 1 2
Direct
0.833 0.087 0.666 Zn
0.167 0.913 0.334 Zn
0.500 0.256 0.000 Zn
0.500 0.744 0.000 Zn
0.167 0.421 0.334 Zn
0.833 0.579 0.666 Zn
0.000 0.000 0.000 Au
0.331 0.331 0.662 Ga
0.669 0.669 0.338 Ga
```